# Hf2Ge4Ir PBE relaxed
data_Hf2Ge4Ir
_chemical_formula_sum 'Hf4 Ge8 Ir2'
_space_group_name_H-M_alt 'I 4/m m m'
_space_group_IT_number 139
_space_group_name_Hall '-I 4 2'
_cell_length_a 4.854
_cell_length_b 4.854
_cell_length_c 13.146
_cell_angle_alpha 90.00
_cell_angle_beta 90.00
_cell_angle_gamma 90.00
loop_
_atom_site_label
_atom_site_type_symbol
_atom_site_fract_x
_atom_site_fract_y
_atom_site_fract_z
Hf1 Hf 0.000 0.000 0.110
Ge1 Ge 0.000 0.000 0.312
Ge2 Ge 0.000 0.500 0.000
Ir1 Ir 0.000 0.000 0.500
# * formation energy from the elements: 215.5 meV per atom